(1)
! Rb2NdO4, relaxed, DFT PBE; values from VASP
! DFT total energy ... -5.01 eV/atom
! Total magnetic moment ... 6.00 μB/cell
! Calculated density ... 3.93 g cm⁻³
! Crystal system ... cubic
! Space group ... Fd-3m
&SYSTEM
  ibrav = 0, nat = 14, ntyp = 3
/
ATOMIC_SPECIES
O 16.00 O.upf
Rb 85.47 Rb.upf
Nd 144.24 Nd.upf
ATOMIC_POSITIONS crystal
O 0.633 0.735 0.368
O 0.118 0.235 0.883
O 0.117 0.765 0.882
Rb 0.375 0.750 0.625
Nd 0.750 0.500 0.250
O 0.632 0.265 0.367
Rb 0.375 0.250 0.625
Rb 0.875 0.250 0.625
O 0.102 0.735 0.367
O 0.117 0.235 0.352
Nd 0.000 0.000 0.000
Rb 0.375 0.750 0.125
O 0.633 0.265 0.898
O 0.648 0.765 0.883
CELL_PARAMETERS angstrom
5.431 -5.429 0.000
-5.431 0.000 -5.429
5.431 5.429 0.000

(2)
! TmCuSi, relaxed, DFT PBE; values from VASP
! DFT total energy ... -5.20 eV/atom
! Total magnetic moment ... 0.00 μB/cell
! Calculated density ... 8.07 g cm⁻³
! Crystal system ... hexagonal
! Space group ... P6_3/mmc
&SYSTEM
  ibrav = 0, nat = 6, ntyp = 3
/
ATOMIC_SPECIES
Cu 63.55 Cu.upf
Tm 168.93 Tm.upf
Si 28.09 Si.upf
ATOMIC_POSITIONS crystal
Cu 0.333 0.667 0.250
Tm 0.000 0.000 0.500
Si 0.667 0.333 0.250
Si 0.333 0.667 0.750
Tm 0.000 0.000 0.000
Cu 0.667 0.333 0.750
CELL_PARAMETERS angstrom
-1.905 0.687 -3.574
-0.983 -3.292 2.251
-5.130 3.917 3.487

(3)
! Ba2ThCu2Se5, relaxed, DFT PBE; values from VASP
! DFT total energy ... -5.06 eV/atom
! Total magnetic moment ... 0.00 μB/cell
! Calculated density ... 6.32 g cm⁻³
! Crystal system ... monoclinic
! Space group ... C2/m
&SYSTEM
  ibrav = 0, nat = 10, ntyp = 4
/
ATOMIC_SPECIES
Se 78.96 Se.upf
Cu 63.55 Cu.upf
Ba 137.33 Ba.upf
Th 232.04 Th.upf
ATOMIC_POSITIONS crystal
Se 0.850 0.850 0.685
Se 0.382 0.382 0.064
Cu 0.553 0.553 0.292
Ba 0.825 0.825 0.306
Se 0.150 0.150 0.315
Th 0.000 0.000 0.000
Cu 0.447 0.447 0.708
Se 0.500 0.500 0.500
Ba 0.175 0.175 0.694
Se 0.618 0.618 0.936
CELL_PARAMETERS angstrom
7.118 -2.147 0.000
7.118 2.147 0.000
-4.296 0.000 8.848

(4)
! Nb2PbO6, relaxed, DFT PBE; values from VASP
! DFT total energy ... -8.23 eV/atom
! Total magnetic moment ... 0.00 μB/cell
! Calculated density ... 6.64 g cm⁻³
! Crystal system ... trigonal
! Space group ... R3m
&SYSTEM
  ibrav = 0, nat = 27, ntyp = 3
/
ATOMIC_SPECIES
O 16.00 O.upf
Nb 92.91 Nb.upf
Pb 207.20 Pb.upf
ATOMIC_POSITIONS crystal
O 0.945 0.945 0.496
Nb 0.815 0.172 0.472
Pb 0.995 0.995 0.995
O 0.432 0.720 0.432
O 0.950 0.229 0.229
O 0.496 0.945 0.945
Nb 0.472 0.815 0.172
O 0.057 0.330 0.602
Pb 0.659 0.659 0.659
Nb 0.472 0.172 0.815
Nb 0.172 0.472 0.815
O 0.229 0.229 0.950
O 0.720 0.164 0.720
Nb 0.815 0.472 0.172
O 0.330 0.602 0.057
O 0.057 0.602 0.330
Nb 0.172 0.815 0.472
O 0.720 0.720 0.164
O 0.432 0.432 0.720
O 0.164 0.720 0.720
O 0.602 0.057 0.330
O 0.602 0.330 0.057
Pb 0.311 0.311 0.311
O 0.945 0.496 0.945
O 0.720 0.432 0.432
O 0.229 0.950 0.229
O 0.330 0.057 0.602
CELL_PARAMETERS angstrom
-0.928 -2.768 -6.559
6.443 -3.020 0.952
-3.563 -5.276 3.319

(5)
! LiAlTlAu, relaxed, DFT PBE; values from VASP
! DFT total energy ... -3.02 eV/atom
! Calculated density ... 9.64 g cm⁻³
! Crystal system ... cubic
! Space group ... F-43m
&SYSTEM
  ibrav = 0, nat = 4, ntyp = 4
/
ATOMIC_SPECIES
Au 196.97 Au.upf
Li 6.94 Li.upf
Tl 204.38 Tl.upf
Al 26.98 Al.upf
ATOMIC_POSITIONS crystal
Au 0.750 0.750 0.750
Li 0.000 0.000 0.000
Tl 0.250 0.250 0.250
Al 0.500 0.500 0.500
CELL_PARAMETERS angstrom
3.350 -2.829 -1.781
1.461 -3.773 2.455
-1.118 -4.357 -1.470

(6)
! GdDyAsI2, relaxed, DFT PBE; values from VASP
! DFT total energy ... -4.88 eV/atom
! Total magnetic moment ... 0.00 μB/cell
! Calculated density ... 6.48 g cm⁻³
! Crystal system ... trigonal
! Space group ... P3m1
&SYSTEM
  ibrav = 0, nat = 5, ntyp = 4
/
ATOMIC_SPECIES
Gd 157.25 Gd.upf
Dy 162.50 Dy.upf
As 74.92 As.upf
I 126.90 I.upf
ATOMIC_POSITIONS crystal
Gd 0.333 0.667 0.858
Dy 0.667 0.333 0.142
As 0.000 0.000 0.002
I 0.333 0.667 0.326
I 0.667 0.333 0.672
CELL_PARAMETERS angstrom
-1.880 -1.921 3.216
-0.488 -1.470 -3.895
8.773 -6.388 1.311

(7)
! Tl2AgBi, relaxed, DFT PBE; values from VASP
! DFT total energy ... -2.82 eV/atom
! Calculated density ... 11.00 g cm⁻³
! Crystal system ... cubic
! Space group ... F-43m
&SYSTEM
  ibrav = 0, nat = 4, ntyp = 3
/
ATOMIC_SPECIES
Tl 204.38 Tl.upf
Ag 107.87 Ag.upf
Bi 208.98 Bi.upf
ATOMIC_POSITIONS crystal
Tl 0.250 0.250 0.250
Ag 0.500 0.500 0.500
Bi 0.750 0.750 0.750
Tl 0.000 0.000 0.000
CELL_PARAMETERS angstrom
-4.721 -0.619 2.484
-2.551 4.272 2.020
-4.506 1.779 -2.316

(8)
! NdSnMo3, relaxed, DFT PBE; values from VASP
! DFT total energy ... -7.93 eV/atom
! Total magnetic moment ... 0.01 μB/cell
! Calculated density ... 8.42 g cm⁻³
! Crystal system ... triclinic
! Space group ... P1
&SYSTEM
  ibrav = 0, nat = 5, ntyp = 3
/
ATOMIC_SPECIES
Nd 144.24 Nd.upf
Mo 95.94 Mo.upf
Sn 118.71 Sn.upf
ATOMIC_POSITIONS crystal
Nd 0.436 0.999 0.981
Mo 0.515 0.442 0.546
Mo 0.328 0.453 0.913
Mo 0.801 0.103 0.563
Sn 0.047 0.670 0.332
CELL_PARAMETERS angstrom
3.190 0.000 0.000
-1.443 6.129 0.000
-0.970 -2.959 5.557